# PBE with a Hubbard U Mn2VSbO6, optimized geometry
# uncorrected energy = -70.834 eV for the cell shown
# total moment = 11.11 μB per cell
data_Mn2VSbO6
_cell_length_a 5.403
_cell_length_b 5.403
_cell_length_c 4.820
_cell_angle_alpha 90.00
_cell_angle_beta 90.00
_cell_angle_gamma 90.00
_space_group_name_H-M_alt 'P 4 m m'
_space_group_IT_number 99
loop_
_space_group_symop_operation_xyz
'x,y,z'
'-y,x,z'
'-x,-y,z'
'y,-x,z'
'-x,y,z'
'y,x,z'
'x,-y,z'
'-y,-x,z'
loop_
_atom_site_label
_atom_site_fract_x
_atom_site_fract_y
_atom_site_fract_z
_atom_site_occupancy
Mn1 0.000 0.500 0.000 1
V1 0.000 0.000 0.632 1
Sb1 0.500 0.500 0.629 1
O1 0.000 0.000 0.280 1
O2 0.243 0.243 0.779 1
O3 0.500 0.500 0.223 1